First-principles (GGA-PBE) data for a relaxed Cs2K4Rb3Hg2 crystal, as listed in Alexandria.

a b c (Å): 7.0494 7.0494 16.8841
angles (deg): 102.05 102.05 90.00
Last column: nearest neighbours and their distance in Å.
Fractional coordinates of all 11 atoms:
Cs 0.3235 0.3235 0.6470  1 Hg 4.19
Cs 0.6765 0.6765 0.3530  1 Hg 4.19
K 0.4237 0.9237 0.8475  2 Hg 3.65
K 0.9237 0.4237 0.8475  2 Hg 3.65
K 0.0763 0.5763 0.1525  2 Hg 3.65
K 0.5763 0.0763 0.1525  2 Hg 3.65
Rb 0.0000 0.0000 0.0000  8 K 4.30
Rb 0.1758 0.1758 0.3517  5 Cs 4.76-4.98, 4 K 4.77
Rb 0.8242 0.8242 0.6483  5 Cs 4.76-4.98, 4 K 4.77
Hg 0.4533 0.4533 0.9066  1 Hg 3.01
Hg 0.5467 0.5467 0.0934  1 Hg 3.01

Summary:
Spin magnetization = 0.00 μB per formula unit
Energy of formation = -0.4 eV per formula unit